The following is a DFT calculation (PBE) of a geometry-optimized ErNbOs2 structure.

abc: 3.2221 3.2221 6.8407
angles: 90.00 90.00 90.00
Fractional coordinates of all 4 atoms:
Nb  0.5000  0.5000  0.0000
Os  0.0000  0.0000  0.7759
Os  0.0000  0.0000  0.2241
Er  0.5000  0.5000  0.5000

Volume, Å³/atom: 17.76
Total energy, eV/f.u.: -38.10
Spin magnetization, μB/f.u.: 0.00
Formation energy, eV per formula unit: -1.0
Distance to the lowest polymorph of the same formula, kJ/mol of formula units: 0
Symmetry: P4/mmm (123)
N(E_F), states/eV per atom: 0.41